--- A ---
Material: MnAgS2N
Method: DFT, PBE
State: relaxed

## Properties
space-group type = P4/mmm, No. 123
N(E_F) = 6.11 states/eV per cell

Structure (POSCAR):
```
MnAgS2N
1.0
4.950 0.000 0.000
0.000 4.950 0.000
0.000 0.000 3.867
Mn Ag S N
1 1 2 1
direct
0.000 0.000 0.000
0.500 0.500 0.500
0.000 0.500 0.500
0.500 0.000 0.500
0.500 0.500 0.000
```

--- B ---
Material: MnAgS2N
Method: DFT, PBE
State: relaxed

## Properties
space-group type = P4/mmm, No. 123
N(E_F) = 2.99 states/eV per cell

Structure (POSCAR):
```
MnAgS2N
1.0
4.765 0.000 0.000
0.000 4.765 0.000
0.000 0.000 3.467
Mn Ag S N
1 1 2 1
direct
0.000 0.000 0.000
0.500 0.500 0.500
0.000 0.500 0.000
0.500 0.000 0.000
0.000 0.000 0.500
```

Which of them is most stable, and which least? Most stable: B; least stable: A.

--- A ---
Material: MnAgSN2
Method: DFT, PBE
State: relaxed

## Properties
space-group type = P4/mmm, No. 123
N(E_F) = 3.20 states/eV per cell

Structure (POSCAR):
```
MnAgSN2
1.0
3.589 0.000 0.000
0.000 3.589 0.000
0.000 0.000 5.224
Mn Ag S N
1 1 1 2
direct
0.000 0.000 0.000
0.500 0.500 0.500
0.000 0.000 0.500
0.000 0.500 0.000
0.500 0.000 0.000
```

--- B ---
Material: MnAgSN2
Method: DFT, PBE
State: relaxed

## Properties
space-group type = P4/mmm, No. 123
N(E_F) = 2.42 states/eV per cell

Structure (POSCAR):
```
MnAgSN2
1.0
3.982 0.000 0.000
0.000 3.982 0.000
0.000 0.000 5.520
Mn Ag S N
1 1 1 2
direct
0.000 0.000 0.000
0.500 0.500 0.500
0.500 0.500 0.000
0.000 0.500 0.500
0.500 0.000 0.500
```

Which of them is most stable, and which least? Most stable: A; least stable: B.

--- A ---
Material: MnAgTeN2
Method: DFT, PBE
State: relaxed

## Properties
space-group type = P4/mmm, No. 123
N(E_F) = 8.83 states/eV per cell

Structure (POSCAR):
```
MnAgTeN2
1.0
3.946 0.000 0.000
0.000 3.946 0.000
0.000 0.000 5.688
Mn Ag Te N
1 1 1 2
direct
0.000 0.000 0.000
0.500 0.500 0.500
0.500 0.500 0.000
0.000 0.500 0.500
0.500 0.000 0.500
```

--- B ---
Material: MnAgTeN2
Method: DFT, PBE
State: relaxed

## Properties
space-group type = P4/mmm, No. 123
N(E_F) = 2.82 states/eV per cell

Structure (POSCAR):
```
MnAgTeN2
1.0
3.735 0.000 0.000
0.000 3.735 0.000
0.000 0.000 5.634
Mn Ag Te N
1 1 1 2
direct
0.000 0.000 0.000
0.500 0.500 0.500
0.000 0.000 0.500
0.000 0.500 0.000
0.500 0.000 0.000
```

Which of them is most stable, and which least? Most stable: B; least stable: A.

--- A ---
Material: Na2MnAg
Method: DFT, PBE
State: relaxed

## Properties
space-group type = Fm-3m, No. 225
N(E_F) = 3.72 states/eV per cell

Structure (POSCAR):
```
Na2MnAg
1.0
0.000 3.579 3.579
3.579 0.000 3.579
3.579 3.579 0.000
Na Mn Ag
2 1 1
direct
0.250 0.250 0.250
0.750 0.750 0.750
0.000 0.000 0.000
0.500 0.500 0.500
```

--- B ---
Material: Na2MnAg
Method: DFT, PBE
State: relaxed

## Properties
space-group type = I-42d, No. 122
N(E_F) = 5.33 states/eV per cell

Structure (POSCAR):
```
Na2MnAg
1.0
-4.169 4.169 2.822
4.169 -4.169 2.822
4.169 4.169 -2.822
Na Mn Ag
4 2 2
direct
0.101 0.625 0.976
0.375 0.351 0.476
0.649 0.125 0.024
0.875 0.899 0.524
0.250 0.750 0.500
0.500 0.500 0.000
0.000 0.000 0.000
0.750 0.250 0.500
```

Which of them is most stable, and which least? Most stable: A; least stable: B.

--- A ---
Material: NaMnAg3
Method: DFT, PBE
State: relaxed

## Properties
space-group type = Pm-3m, No. 221
N(E_F) = 2.28 states/eV per cell

Structure (POSCAR):
```
NaMnAg3
1.0
5.070 0.000 0.000
0.000 5.070 0.000
0.000 0.000 5.070
Na Mn Ag
1 1 3
direct
0.000 0.000 0.000
0.500 0.500 0.500
0.000 0.500 0.500
0.500 0.000 0.500
0.500 0.500 0.000
```

--- B ---
Material: NaMnAg3
Method: DFT, PBE
State: relaxed

## Properties
space-group type = Pm-3m, No. 221
N(E_F) = 2.52 states/eV per cell

Structure (POSCAR):
```
NaMnAg3
1.0
4.887 0.000 0.000
0.000 4.887 0.000
0.000 0.000 4.887
Na Mn Ag
1 1 3
direct
0.000 0.000 0.000
0.500 0.500 0.500
0.000 0.000 0.500
0.000 0.500 0.000
0.500 0.000 0.000
```

Which of them is most stable, and which least? Most stable: A; least stable: B.

--- A ---
Material: NaMn2Ag
Method: DFT, PBE
State: relaxed

## Properties
space-group type = I-42d, No. 122
N(E_F) = 7.29 states/eV per cell

Structure (POSCAR):
```
NaMn2Ag
1.0
-1.968 1.968 10.095
1.968 -1.968 10.095
1.968 1.968 -10.095
Na Mn Ag
2 4 2
direct
0.000 0.000 0.000
0.750 0.250 0.500
0.139 0.625 0.014
0.375 0.389 0.514
0.611 0.125 0.986
0.875 0.861 0.486
0.250 0.750 0.500
0.500 0.500 0.000
```

--- B ---
Material: NaMn2Ag
Method: DFT, PBE
State: relaxed

## Properties
space-group type = Fm-3m, No. 225
N(E_F) = 2.19 states/eV per cell

Structure (POSCAR):
```
NaMn2Ag
1.0
0.000 3.313 3.313
3.313 0.000 3.313
3.313 3.313 0.000
Na Mn Ag
1 2 1
direct
0.000 0.000 0.000
0.250 0.250 0.250
0.750 0.750 0.750
0.500 0.500 0.500
```

Which of them is most stable, and which least? Most stable: B; least stable: A.